No. 1
# CaMg2BRh2 (PBE, optimized geometry)
# VASP energy in eV per cell: -28.99
# Formation energy in eV/atom: -0.403
# Calculated density in g cm⁻³: 4.67
# Total moment in μB/f.u.: 0.00
data_CaMg2BRh2
_chemical_formula_sum 'Ca1 Mg2 B1 Rh2'
_cell_length_a 4.217
_cell_length_b 4.217
_cell_length_c 6.107
_cell_angle_alpha 90.00
_cell_angle_beta 90.00
_cell_angle_gamma 90.00
_space_group_name_H-M_alt 'P 1'
_space_group_IT_number 1
loop_
_space_group_symop_operation_xyz
'x,y,z'
loop_
_atom_site_label
_atom_site_type_symbol
_atom_site_fract_x
_atom_site_fract_y
_atom_site_fract_z
Ca1 Ca 0.000 0.000 0.000
Mg1 Mg 0.500 0.500 0.243
Mg2 Mg 0.500 0.500 0.757
B1 B 0.000 0.000 0.500
Rh1 Rh 0.000 0.500 0.500
Rh2 Rh 0.500 0.000 0.500

---

No. 2
# Ca2MgB2Rh5 (PBE, optimized geometry)
# VASP energy in eV per cell: -122.51
# Formation energy in eV/atom: -0.554
# Calculated density in g cm⁻³: 7.24
# Total moment in μB/f.u.: 0.00
data_Ca2MgB2Rh5
_chemical_formula_sum 'Ca4 Mg2 B4 Rh10'
_cell_length_a 9.870
_cell_length_b 9.870
_cell_length_c 3.018
_cell_angle_alpha 90.00
_cell_angle_beta 90.00
_cell_angle_gamma 90.00
_space_group_name_H-M_alt 'P 1'
_space_group_IT_number 1
loop_
_space_group_symop_operation_xyz
'x,y,z'
loop_
_atom_site_label
_atom_site_type_symbol
_atom_site_fract_x
_atom_site_fract_y
_atom_site_fract_z
Ca1 Ca 0.177 0.323 0.000
Ca2 Ca 0.323 0.823 0.000
Ca3 Ca 0.677 0.177 0.000
Ca4 Ca 0.823 0.677 0.000
Mg1 Mg 0.000 0.000 0.000
Mg2 Mg 0.500 0.500 0.000
B1 B 0.123 0.623 0.000
B2 B 0.377 0.123 0.000
B3 B 0.623 0.877 0.000
B4 B 0.877 0.377 0.000
Rh1 Rh 0.000 0.500 0.500
Rh2 Rh 0.069 0.774 0.500
Rh3 Rh 0.226 0.069 0.500
Rh4 Rh 0.274 0.569 0.500
Rh5 Rh 0.431 0.274 0.500
Rh6 Rh 0.500 0.000 0.500
Rh7 Rh 0.569 0.726 0.500
Rh8 Rh 0.726 0.431 0.500
Rh9 Rh 0.774 0.931 0.500
Rh10 Rh 0.931 0.226 0.500

---

No. 3
# Ca2MgBTe (PBE, optimized geometry)
# Energy relative to the elements, uncorrected in meV/atom: -383
# VASP energy in eV per cell: -17.33
# Calculated density in g cm⁻³: 3.22
# Total moment in μB/f.u.: 0.00
data_Ca2MgBTe
_chemical_formula_sum 'Ca2 Mg1 B1 Te1'
_cell_length_a 5.259
_cell_length_b 5.259
_cell_length_c 4.535
_cell_angle_alpha 90.00
_cell_angle_beta 90.00
_cell_angle_gamma 90.00
_space_group_name_H-M_alt 'P 1'
_space_group_IT_number 1
loop_
_space_group_symop_operation_xyz
'x,y,z'
loop_
_atom_site_label
_atom_site_type_symbol
_atom_site_fract_x
_atom_site_fract_y
_atom_site_fract_z
Ca1 Ca 0.000 0.500 0.000
Ca2 Ca 0.500 0.000 0.000
Mg1 Mg 0.000 0.000 0.500
B1 B 0.000 0.000 0.000
Te1 Te 0.500 0.500 0.500

---

No. 4
# CaMgBTe2 (PBE, optimized geometry)
# Energy relative to the elements, uncorrected in meV/atom: 1083
# VASP energy in eV per cell: -11.14
# Calculated density in g cm⁻³: 2.74
# Total moment in μB/f.u.: 0.00
data_CaMgBTe2
_chemical_formula_sum 'Ca1 Mg1 B1 Te2'
_cell_length_a 5.799
_cell_length_b 5.799
_cell_length_c 5.963
_cell_angle_alpha 90.00
_cell_angle_beta 90.00
_cell_angle_gamma 90.00
_space_group_name_H-M_alt 'P 1'
_space_group_IT_number 1
loop_
_space_group_symop_operation_xyz
'x,y,z'
loop_
_atom_site_label
_atom_site_type_symbol
_atom_site_fract_x
_atom_site_fract_y
_atom_site_fract_z
Ca1 Ca 0.000 0.000 0.000
Mg1 Mg 0.000 0.000 0.500
B1 B 0.500 0.500 0.500
Te1 Te 0.000 0.500 0.000
Te2 Te 0.500 0.000 0.000

---

No. 5
# Ca2MgTlB (PBE, optimized geometry)
# VASP energy in eV per cell: -13.56
# Formation energy in eV/atom: 0.215
# Calculated density in g cm⁻³: 3.99
# Total moment in μB/f.u.: 0.00
data_Ca2MgTlB
_chemical_formula_sum 'Ca2 Mg1 Tl1 B1'
_cell_length_a 5.414
_cell_length_b 5.414
_cell_length_c 4.533
_cell_angle_alpha 90.00
_cell_angle_beta 90.00
_cell_angle_gamma 90.00
_space_group_name_H-M_alt 'P 1'
_space_group_IT_number 1
loop_
_space_group_symop_operation_xyz
'x,y,z'
loop_
_atom_site_label
_atom_site_type_symbol
_atom_site_fract_x
_atom_site_fract_y
_atom_site_fract_z
Ca1 Ca 0.000 0.500 0.000
Ca2 Ca 0.500 0.000 0.000
Mg1 Mg 0.000 0.000 0.500
Tl1 Tl 0.500 0.500 0.500
B1 B 0.500 0.500 0.000

---

No. 6
# CaMnB4 (PBE, optimized geometry)
# VASP energy in eV per cell: -160.91
# Formation energy in eV/atom: -0.391
# Calculated density in g cm⁻³: 4.01
# Total moment in μB/f.u.: 0.44
data_CaMnB4
_chemical_formula_sum 'Ca4 Mn4 B16'
_cell_length_a 5.933
_cell_length_b 11.488
_cell_length_c 3.361
_cell_angle_alpha 90.00
_cell_angle_beta 90.00
_cell_angle_gamma 90.00
_space_group_name_H-M_alt 'P 1'
_space_group_IT_number 1
loop_
_space_group_symop_operation_xyz
'x,y,z'
loop_
_atom_site_label
_atom_site_type_symbol
_atom_site_fract_x
_atom_site_fract_y
_atom_site_fract_z
Ca1 Ca 0.123 0.152 0.000
Ca2 Ca 0.377 0.652 0.000
Ca3 Ca 0.623 0.348 0.000
Ca4 Ca 0.877 0.848 0.000
Mn1 Mn 0.121 0.421 0.000
Mn2 Mn 0.379 0.921 0.000
Mn3 Mn 0.621 0.079 0.000
Mn4 Mn 0.879 0.579 0.000
B1 B 0.024 0.690 0.500
B2 B 0.113 0.547 0.500
B3 B 0.139 0.967 0.500
B4 B 0.221 0.818 0.500
B5 B 0.279 0.318 0.500
B6 B 0.361 0.467 0.500
B7 B 0.387 0.047 0.500
B8 B 0.476 0.190 0.500
B9 B 0.524 0.810 0.500
B10 B 0.613 0.953 0.500
B11 B 0.639 0.533 0.500
B12 B 0.721 0.682 0.500
B13 B 0.779 0.182 0.500
B14 B 0.861 0.033 0.500
B15 B 0.887 0.453 0.500
B16 B 0.976 0.310 0.500

---

No. 7
# CaMn2B (PBE, optimized geometry)
# VASP energy in eV per cell: -49.60
# Formation energy in eV/atom: 0.555
# Calculated density in g cm⁻³: 3.90
# Total moment in μB/f.u.: 3.35
data_CaMn2B
_chemical_formula_sum 'Ca2 Mn4 B2'
_cell_length_a 7.997
_cell_length_b 7.997
_cell_length_c 7.997
_cell_angle_alpha 148.80
_cell_angle_beta 148.80
_cell_angle_gamma 44.70
_space_group_name_H-M_alt 'P 1'
_space_group_IT_number 1
loop_
_space_group_symop_operation_xyz
'x,y,z'
loop_
_atom_site_label
_atom_site_type_symbol
_atom_site_fract_x
_atom_site_fract_y
_atom_site_fract_z
Ca1 Ca 0.375 0.625 0.750
Ca2 Ca 0.625 0.375 0.250
Mn1 Mn 0.000 0.000 0.000
Mn2 Mn 0.000 0.000 0.500
Mn3 Mn 0.000 0.500 0.000
Mn4 Mn 0.500 0.000 0.500
B1 B 0.125 0.875 0.250
B2 B 0.875 0.125 0.750

---

No. 8
# CaMnB2 (PBE, optimized geometry)
# VASP energy in eV per cell: -46.94
# Formation energy in eV/atom: 0.265
# Calculated density in g cm⁻³: 3.17
# Total moment in μB/f.u.: 1.01
data_CaMnB2
_chemical_formula_sum 'Ca2 Mn2 B4'
_cell_length_a 7.130
_cell_length_b 7.130
_cell_length_c 7.130
_cell_angle_alpha 144.40
_cell_angle_beta 144.40
_cell_angle_gamma 51.24
_space_group_name_H-M_alt 'P 1'
_space_group_IT_number 1
loop_
_space_group_symop_operation_xyz
'x,y,z'
loop_
_atom_site_label
_atom_site_type_symbol
_atom_site_fract_x
_atom_site_fract_y
_atom_site_fract_z
Ca1 Ca 0.375 0.625 0.750
Ca2 Ca 0.625 0.375 0.250
Mn1 Mn 0.125 0.875 0.250
Mn2 Mn 0.875 0.125 0.750
B1 B 0.000 0.000 0.000
B2 B 0.000 0.000 0.500
B3 B 0.000 0.500 0.000
B4 B 0.500 0.000 0.500

---

No. 9
# Ca2MnB (PBE, optimized geometry)
# VASP energy in eV per cell: -37.35
# Formation energy in eV/atom: 0.293
# Calculated density in g cm⁻³: 2.33
# Total moment in μB/f.u.: 2.56
data_Ca2MnB
_chemical_formula_sum 'Ca4 Mn2 B2'
_cell_length_a 7.510
_cell_length_b 7.510
_cell_length_c 7.510
_cell_angle_alpha 94.00
_cell_angle_beta 94.00
_cell_angle_gamma 149.36
_space_group_name_H-M_alt 'P 1'
_space_group_IT_number 1
loop_
_space_group_symop_operation_xyz
'x,y,z'
loop_
_atom_site_label
_atom_site_type_symbol
_atom_site_fract_x
_atom_site_fract_y
_atom_site_fract_z
Ca1 Ca 0.375 0.195 0.320
Ca2 Ca 0.805 0.125 0.180
Ca3 Ca 0.875 0.055 0.680
Ca4 Ca 0.945 0.625 0.820
Mn1 Mn 0.250 0.750 0.500
Mn2 Mn 0.500 0.500 0.000
B1 B 0.000 0.000 0.000
B2 B 0.750 0.250 0.500

---

No. 10
# Ca2MnB10 (PBE, optimized geometry)
# VASP energy in eV per cell: -168.50
# Formation energy in eV/atom: -0.331
# Calculated density in g cm⁻³: 2.99
# Total moment in μB/f.u.: 2.66
data_Ca2MnB10
_chemical_formula_sum 'Ca4 Mn2 B20'
_cell_length_a 5.685
_cell_length_b 11.359
_cell_length_c 4.179
_cell_angle_alpha 90.00
_cell_angle_beta 90.00
_cell_angle_gamma 90.00
_space_group_name_H-M_alt 'P 1'
_space_group_IT_number 1
loop_
_space_group_symop_operation_xyz
'x,y,z'
loop_
_atom_site_label
_atom_site_type_symbol
_atom_site_fract_x
_atom_site_fract_y
_atom_site_fract_z
Ca1 Ca 0.188 0.140 0.000
Ca2 Ca 0.312 0.640 0.000
Ca3 Ca 0.688 0.360 0.000
Ca4 Ca 0.812 0.860 0.000
Mn1 Mn 0.000 0.500 0.500
Mn2 Mn 0.500 0.000 0.500
B1 B 0.040 0.311 0.500
B2 B 0.123 0.957 0.500
B3 B 0.153 0.802 0.500
B4 B 0.208 0.384 0.201
B5 B 0.208 0.384 0.799
B6 B 0.292 0.884 0.201
B7 B 0.292 0.884 0.799
B8 B 0.347 0.302 0.500
B9 B 0.377 0.457 0.500
B10 B 0.460 0.811 0.500
B11 B 0.540 0.189 0.500
B12 B 0.623 0.543 0.500
B13 B 0.653 0.698 0.500
B14 B 0.708 0.116 0.201
B15 B 0.708 0.116 0.799
B16 B 0.792 0.616 0.201
B17 B 0.792 0.616 0.799
B18 B 0.847 0.198 0.500
B19 B 0.877 0.043 0.500
B20 B 0.960 0.689 0.500

---

No. 11
# CaMn4B4 (PBE, optimized geometry)
# VASP energy in eV per cell: -136.81
# Formation energy in eV/atom: -0.335
# Calculated density in g cm⁻³: 5.13
# Total moment in μB/f.u.: 5.61
data_CaMn4B4
_chemical_formula_sum 'Ca2 Mn8 B8'
_cell_length_a 7.066
_cell_length_b 7.066
_cell_length_c 3.933
_cell_angle_alpha 90.00
_cell_angle_beta 90.00
_cell_angle_gamma 90.00
_space_group_name_H-M_alt 'P 1'
_space_group_IT_number 1
loop_
_space_group_symop_operation_xyz
'x,y,z'
loop_
_atom_site_label
_atom_site_type_symbol
_atom_site_fract_x
_atom_site_fract_y
_atom_site_fract_z
Ca1 Ca 0.250 0.250 0.250
Ca2 Ca 0.750 0.750 0.750
Mn1 Mn 0.123 0.633 0.132
Mn2 Mn 0.133 0.877 0.632
Mn3 Mn 0.367 0.623 0.632
Mn4 Mn 0.377 0.867 0.132
Mn5 Mn 0.623 0.133 0.868
Mn6 Mn 0.633 0.377 0.368
Mn7 Mn 0.867 0.123 0.368
Mn8 Mn 0.877 0.367 0.868
B1 B 0.060 0.924 0.136
B2 B 0.076 0.560 0.636
B3 B 0.424 0.940 0.636
B4 B 0.440 0.576 0.136
B5 B 0.560 0.424 0.864
B6 B 0.576 0.060 0.364
B7 B 0.924 0.440 0.364
B8 B 0.940 0.076 0.864

---

No. 12
# CaMnB2 (PBE, optimized geometry)
# VASP energy in eV per cell: -20.66
# Formation energy in eV/atom: 0.967
# Calculated density in g cm⁻³: 4.17
# Total moment in μB/f.u.: 0.00
data_CaMnB2
_chemical_formula_sum 'Ca1 Mn1 B2'
_cell_length_a 4.035
_cell_length_b 4.035
_cell_length_c 4.035
_cell_angle_alpha 60.00
_cell_angle_beta 60.00
_cell_angle_gamma 60.00
_space_group_name_H-M_alt 'P 1'
_space_group_IT_number 1
loop_
_space_group_symop_operation_xyz
'x,y,z'
loop_
_atom_site_label
_atom_site_type_symbol
_atom_site_fract_x
_atom_site_fract_y
_atom_site_fract_z
Ca1 Ca 0.000 0.000 0.000
Mn1 Mn 0.500 0.500 0.500
B1 B 0.250 0.250 0.250
B2 B 0.750 0.750 0.750